#A
Li3GaF: relaxed, GGA-PBE.

Structure (POSCAR):
```
Li3GaF
1.0
-3.145 -1.965 1.673
2.491 -2.998 1.162
0.672 1.923 3.521
Li Ga F
3 1 1
direct
0.000 0.500 0.000
0.000 0.000 0.500
0.500 0.000 0.000
0.500 0.500 0.500
0.000 0.000 0.000
```

N(E_F)   1.25 states/eV/f.u.
Theoretical density   2.7 g/cm³


#B
Li3GaF: relaxed, GGA-PBE.

Structure (POSCAR):
```
Li3GaF
1.0
-1.318 0.249 -4.844
-3.729 -3.263 0.846
-3.103 3.815 1.040
Li Ga F
3 1 1
direct
0.000 0.500 0.000
0.000 0.000 0.500
0.500 0.000 0.000
0.000 0.000 0.000
0.500 0.500 0.500
```

N(E_F)   0.10 states/eV/f.u.
Theoretical density   1.4 g/cm³


Which is most stable, and by how much? #A, by 951 meV/atom.